Below is an optimized crystal structure of SrLiNb, with properties calculated at the PBE level.

The structure belongs to space group P1 (No. 1); the cell edges are 3.391, 6.206 and 8.207 Å and the angles 73.19°, 85.02° and 77.05°. The distinct sites, in fractional coordinates, are Sr at (0.000, 0.000, 0.000), Sr at (0.148, 0.390, 0.268), Li at (0.100, 0.405, 0.638), Li at (0.463, 0.587, 0.827), Nb at (0.481, 0.809, 0.427) and Nb at (0.790, 0.966, 0.603).

As for the density of states at the Fermi level: 5.9 states/eV/cell.



Below is an optimized crystal structure of SrLiNb, with properties calculated at the PBE level.

The structure belongs to space group P6_3/mmc (No. 194); the cell edges are 5.4293, 5.4293 and 6.2012 Å and the angles 90.00°, 90.00° and 120.00°. The distinct sites, in fractional coordinates, are Sr at (0.3333, 0.6667, 0.2500), Li at (0.0000, 0.0000, 0.0000) and Nb at (0.3333, 0.6667, 0.7500).

As for the density of states at the Fermi level: 5.4 states/eV/cell.



In eV/atom, the formation enthalpy at 0 K values for the records above are, in order, 0.48, 1.15.
In meV/atom, the offset from the most stable computed form values for the records above are, in order, 161, 838.